Entry 1:
## SrCeDy2 (GGA-PBE)

Data for crystalline SrCeDy2 at its relaxed geometry.

abc: 3.5734 3.5734 12.7341
angles: 81.93 81.93 60.00
Last column: nearest neighbours and their distance in Å.
Sites, in units of the cell vectors:
Sr (0.0000, 0.0000, 0.0000)  2 Dy 3.53, 6 Sr 3.57
Ce (0.5000, 0.5000, 0.5000)  6 Dy 3.44, 6 Ce 3.57
Dy (0.0937, 0.0937, 0.7188)  3 Ce 3.44, 1 Sr 3.53, 6 Dy 3.57
Dy (0.9063, 0.9063, 0.2812)  3 Ce 3.44, 1 Sr 3.53, 6 Dy 3.57

Properties
The energy relative to the elements is 0.247 eV per atom. The energy above the most stable polymorph in this dataset is 101.3 meV per atom. Its symmetry is No. 166. As for the volume: 139 Å³ per cell.



Entry 2:
## Ti2NbSb (GGA-PBE)

Data for crystalline Ti2NbSb at its relaxed geometry.

abc: 3.2958 3.2958 9.0919
angles: 78.00 78.00 53.82
Last column: nearest neighbours and their distance in Å.
Sites, in units of the cell vectors:
Ti (0.1013, 0.1013, 0.7406)  3 Nb 2.69-2.90, 3 Sb 2.91-2.97, 2 Ti 2.98
Ti (0.2459, 0.2459, 0.2608)  3 Nb 2.79-2.82, 3 Sb 2.91-3.08, 2 Ti 2.98
Nb (0.4693, 0.4693, 0.5005)  6 Ti 2.69-2.90, 2 Nb 2.98
Sb (0.6836, 0.6836, 0.9981)  6 Ti 2.91-3.08, 2 Sb 2.98

Properties
Its formation energy from raw total energies is 32 meV/atom. Its symmetry is No. 8. As for the volume: 78 Å³ per cell.



Entry 3:
## TlGeI2O8 (GGA-PBE)

Data for crystalline TlGeI2O8 at its relaxed geometry.

abc: 5.9299 5.9299 6.9955
angles: 98.06 98.06 56.14
Last column: nearest neighbours and their distance in Å.
Sites, in units of the cell vectors:
Tl (0.0000, 0.0000, 0.5000)  6 O 2.56-2.61
Ge (0.0000, 0.0000, 0.0000)  6 O 1.85-1.98
I (0.6614, 0.6614, 0.1527)  3 O 1.80-1.99
I (0.3386, 0.3386, 0.8473)  3 O 1.80-1.99
O (0.7154, 0.2085, 0.7943)  1 Ge 1.98, 1 I 1.99
O (0.8272, 0.8272, 0.0257)  1 Ge 1.85
O (0.7495, 0.7495, 0.3954)  1 I 1.80
O (0.2505, 0.2505, 0.6046)  1 I 1.80
O (0.1728, 0.1728, 0.9743)  1 Ge 1.85
O (0.2085, 0.7154, 0.7943)  1 Ge 1.98, 1 I 1.99
O (0.7915, 0.2846, 0.2057)  1 Ge 1.98, 1 I 1.99
O (0.2846, 0.7915, 0.2057)  1 Ge 1.98, 1 I 1.99

Properties
Its formation energy from raw total energies is -515 meV/atom. Its symmetry is No. 12. As for the volume: 202 Å³ per cell.



Entry 4:
## Tm4MgAlZn2 (GGA-PBE)

Data for crystalline Tm4MgAlZn2 at its relaxed geometry.

abc: 5.0674 5.0674 8.8065
angles: 73.28 73.28 60.00
Last column: nearest neighbours and their distance in Å.
Sites, in units of the cell vectors:
Tm (0.3785, 0.3785, 0.8646)  1 Al 3.03, 4 Zn 3.04-3.06, 3 Mg 3.13
Tm (0.8721, 0.8721, 0.3836)  3 Al 3.08, 4 Zn 3.18-3.19, 1 Mg 3.19
Tm (0.1279, 0.1279, 0.6164)  3 Al 3.08, 4 Zn 3.18-3.19, 1 Mg 3.19
Tm (0.6215, 0.6215, 0.1354)  1 Al 3.03, 4 Zn 3.04-3.06, 3 Mg 3.13
Mg (0.0000, 0.0000, 0.0000)  8 Tm 3.13-3.19, 6 Zn 3.51
Al (0.5000, 0.5000, 0.5000)  8 Tm 3.03-3.08
Zn (0.7443, 0.7443, 0.7672)  8 Tm 3.04-3.19
Zn (0.2557, 0.2557, 0.2328)  8 Tm 3.04-3.19

Properties
The energy relative to the elements is -0.272 eV per atom. Its symmetry is No. 166. As for the volume: 185 Å³ per cell.



Entry 5:
## LaHo2Th (GGA-PBE)

Data for crystalline LaHo2Th at its relaxed geometry.

abc: 3.6000 3.6000 11.8404
angles: 81.26 81.26 60.00
Last column: nearest neighbours and their distance in Å.
Sites, in units of the cell vectors:
La (0.5006, 0.5006, 0.4982)  6 La 3.60, 6 Ho 3.66-3.71
Ho (0.0794, 0.0794, 0.7617)  3 Th 3.48, 6 Ho 3.60, 3 La 3.71
Ho (0.2535, 0.2535, 0.2394)  3 Th 3.47, 6 Ho 3.60, 3 La 3.66
Th (0.6665, 0.6665, 0.0006)  6 Ho 3.47-3.48, 6 Th 3.60

Properties
The energy relative to the elements is 0.021 eV per atom. The energy above the most stable polymorph in this dataset is 18.8 meV per atom. Its symmetry is No. 160. As for the volume: 131 Å³ per cell.



Entry 6:
## LiTlHg6 (GGA-PBE)

Data for crystalline LiTlHg6 at its relaxed geometry.

abc: 4.9406 4.9406 8.4103
angles: 90.00 90.00 90.00
Last column: nearest neighbours and their distance in Å.
Sites, in units of the cell vectors:
Li (0.0000, 0.0000, 0.5000)  12 Hg 3.15-3.49
Tl (0.0000, 0.0000, 0.0000)  12 Hg 3.34-3.49
Hg (0.5000, 0.5000, 0.0000)  8 Hg 3.34, 4 Tl 3.49
Hg (0.5000, 0.5000, 0.5000)  8 Hg 3.15, 4 Li 3.49
Hg (0.5000, 0.0000, 0.2678)  8 Hg 3.15-3.49, 2 Li 3.15, 2 Tl 3.34
Hg (0.5000, 0.0000, 0.7322)  8 Hg 3.15-3.49, 2 Li 3.15, 2 Tl 3.34
Hg (0.0000, 0.5000, 0.2678)  2 Li 3.15, 8 Hg 3.15-3.49, 2 Tl 3.34
Hg (0.0000, 0.5000, 0.7322)  2 Li 3.15, 8 Hg 3.15-3.49, 2 Tl 3.34

Properties
The energy relative to the elements is -0.082 eV per atom. Its symmetry is No. 123. As for the volume: 205 Å³ per cell.